Record 1
A geometry-optimized Te2POs structure, computed with PBEsol.

POSCAR file:
```
Te2POs
1.0
-2.601 -1.707 0.561
-1.625 -1.244 -2.410
3.804 -8.760 -0.116
P Te Os
1 2 1
direct
0.500 0.500 0.500
0.910 0.910 0.269
0.090 0.090 0.731
0.000 0.000 0.000
```

Its uncorrected formation energy is 1.05 eV/atom. The space group is R-3m.

=====

Record 2
A geometry-optimized Li2Co2Sb structure, computed with PBEsol.

POSCAR file:
```
Li2Co2Sb
1.0
4.153 0.000 0.000
0.000 6.040 0.000
0.000 0.000 6.040
Sb Co Li
2 4 4
direct
0.000 0.000 0.000
0.000 0.500 0.500
0.000 0.373 0.873
0.000 0.873 0.627
0.000 0.627 0.127
0.000 0.127 0.373
0.500 0.165 0.665
0.500 0.665 0.835
0.500 0.835 0.335
0.500 0.335 0.165
```

Its uncorrected formation energy is 0.09 eV/atom. The space group is P4/mbm.

=====

Record 3
A geometry-optimized AlAgCl2 structure, computed with PBEsol.

POSCAR file:
```
AlAgCl2
1.0
-2.173 -2.136 2.240
2.845 -0.302 2.473
-1.873 4.777 2.738
Al Ag Cl
1 1 2
direct
0.500 0.500 0.838
0.000 0.000 0.463
0.000 0.000 0.927
0.500 0.500 0.272
```

Its uncorrected formation energy is -0.28 eV/atom. The space group is P4mm.

=====

Record 4
A geometry-optimized Re2SiPt structure, computed with PBEsol.

POSCAR file:
```
Re2SiPt
1.0
-3.390 1.509 -0.374
-1.437 -2.699 2.135
0.650 2.284 3.325
Pt Re Si
1 2 1
direct
0.000 0.000 0.500
0.000 0.500 0.000
0.500 0.000 0.000
0.500 0.500 0.500
```

Its uncorrected formation energy is 0.14 eV/atom. The space group is P4/mmm.

=====

Record 5
A geometry-optimized Sr3Ca3Ru4O14 structure, computed with PBEsol.

POSCAR file:
```
Sr3Ca3Ru4O14
1.0
5.500 0.001 -0.005
-0.003 5.491 -0.002
-0.060 -2.741 9.886
Sr Ca Ru O
3 3 4 14
direct
0.273 0.258 0.001
0.770 0.744 0.998
0.215 0.068 0.623
0.199 0.450 0.374
0.699 0.921 0.374
0.698 0.548 0.624
0.739 0.149 0.801
0.741 0.350 0.201
0.241 0.850 0.198
0.238 0.652 0.800
0.264 0.881 0.391
0.257 0.513 0.600
0.735 0.107 0.601
0.758 0.510 0.399
0.741 0.195 0.002
0.230 0.807 0.000
0.532 0.627 0.173
0.522 0.445 0.824
0.022 0.379 0.825
0.031 0.548 0.176
0.451 0.157 0.230
0.461 0.919 0.782
0.949 0.845 0.770
0.952 0.076 0.234
```

Its uncorrected formation energy is -2.03 eV/atom. The space group is P1.

=====

Record 6
A geometry-optimized BeCdHg2 structure, computed with PBEsol.

POSCAR file:
```
BeCdHg2
1.0
3.321 0.041 0.000
-0.766 5.069 0.000
-1.278 -2.555 4.684
Be Hg Cd
1 2 1
direct
0.500 0.500 0.000
0.000 0.000 0.500
0.500 0.500 0.500
0.000 0.000 0.000
```

For the formation energy, the calculation gives 1.43 eV per formula unit. The space group is C2/m.